Density functional theory data (PBE) for a relaxed Sr2AcSb crystal.

a = 6.041 Å, b = 6.041 Å, c = 6.041 Å
α = 60.08°, β = 60.08°, γ = 60.08°
Fractional coordinates of all 4 atoms:
1 Sr 0.250 0.250 0.250
2 Sr 0.750 0.750 0.750
3 Ac 0.000 0.000 0.000
4 Sb 0.500 0.500 0.500

Values from the calculation:
ΔE_f (raw) (meV per atom): -106.2
SG: R-3m
Total DFT energy (no corrections) (eV for the cell shown): -12.0
Energy above the lowest structure with this stoichiometry (meV/atom): 272.4